Material: Ca3CdPt
Method: DFT, PBE
State: relaxed

Results
Energy of formation: -2.40 eV per formula unit
Density of states at the Fermi level: 0.50 states/eV per atom
Total magnetization: 0.0 μB/cell
E above lowest polymorph: 78.6 meV/atom
SG: Pm-3m (221)
VASP energy: -3.072 eV/atom
ρ: 4.17 g/cm3

abc: 5.544 5.544 5.544
angles: 90.00 90.00 90.00
Element x y z (fractional)
1 Ca 0.000 0.500 0.000
2 Ca 0.000 0.000 0.500
3 Ca 0.500 0.000 0.000
4 Pt 0.000 0.000 0.000
5 Cd 0.500 0.500 0.500